Record 1
A plane-wave DFT calculation with GGA-PBE was carried out for a geometry-optimized Pm3Ho6Er structure.

Cell: 10.9128 10.9128 6.2817 Å, 90.00 90.00 119.75°
Closest atoms and distances in Å follow each position.
Element x y z (fractional)
Pm: 0.1109 0.8891 0.5000  7 Ho 3.42-3.76, 1 Er 3.59, 2 Pm 3.64
Pm: 0.2148 0.4386 0.1071  1 Er 3.25, 6 Ho 3.29-3.55, 1 Pm 3.64
Pm: 0.4386 0.2148 0.6071  1 Er 3.25, 6 Ho 3.29-3.55, 1 Pm 3.64
Pm: 0.5614 0.7852 0.1071  1 Er 3.25, 6 Ho 3.29-3.55, 1 Pm 3.64
Pm: 0.7852 0.5614 0.6071  1 Er 3.25, 6 Ho 3.29-3.55, 1 Pm 3.64
Pm: 0.8891 0.1109 0.0000  7 Ho 3.42-3.76, 1 Er 3.59, 2 Pm 3.64
Ho: 0.0328 0.4525 0.6999  5 Ho 3.19-3.49, 2 Er 3.28-3.48, 2 Pm 3.29-3.50
Ho: 0.1193 0.2119 0.5243  5 Ho 3.39-3.79, 4 Pm 3.39-3.70
Ho: 0.2119 0.1193 0.0243  5 Ho 3.39-3.79, 4 Pm 3.39-3.70
Ho: 0.2248 0.7752 0.9226  4 Ho 3.19-3.38, 2 Er 3.38-3.51, 1 Pm 3.42
Ho: 0.4525 0.0328 0.1999  5 Ho 3.19-3.49, 2 Er 3.28-3.48, 2 Pm 3.29-3.50
Ho: 0.4574 0.5426 0.6784  1 Er 3.35, 4 Pm 3.51-3.55, 2 Ho 3.53
Ho: 0.5426 0.4574 0.1784  1 Er 3.35, 4 Pm 3.51-3.55, 2 Ho 3.53
Ho: 0.5475 0.9672 0.6999  5 Ho 3.19-3.49, 2 Er 3.28-3.48, 2 Pm 3.29-3.50
Ho: 0.7752 0.2248 0.4226  4 Ho 3.19-3.38, 2 Er 3.38-3.51, 1 Pm 3.42
Ho: 0.7881 0.8807 0.5243  5 Ho 3.39-3.79, 4 Pm 3.39-3.70
Ho: 0.8807 0.7881 0.0243  5 Ho 3.39-3.79, 4 Pm 3.39-3.70
Ho: 0.9672 0.5475 0.1999  5 Ho 3.19-3.49, 2 Er 3.28-3.48, 2 Pm 3.29-3.50
Er: 0.2999 0.7001 0.4334  3 Pm 3.25-3.59, 7 Ho 3.28-3.51
Er: 0.7001 0.2999 0.9334  3 Pm 3.25-3.59, 7 Ho 3.28-3.51

Results
D(E_F) in states/eV per cell: 27.96
SG: Cmc2_1
Theoretical density in g/cm3: 8.14
Electronic total energy in eV for the cell shown: -89.56
Energy relative to the lowest polymorph listed for this composition in meV/atom: 134
Volume in Å³ per atom: 32.47

***

Record 2
A plane-wave DFT calculation with GGA-PBE was carried out for a geometry-optimized NaAcSn2Pd2 structure.

Cell: 4.7698 4.7698 7.2928 Å, 90.00 90.00 120.00°
Closest atoms and distances in Å follow each position.
Element x y z (fractional)
Na: 0.0000 0.0000 0.0000  6 Sn 3.10, 6 Pd 3.13
Ac: 0.0000 0.0000 0.5000  6 Pd 3.50, 6 Sn 3.54, 2 Na 3.65
Sn: 0.3333 0.6667 0.8043  4 Pd 2.75-2.92
Sn: 0.6667 0.3333 0.1957  4 Pd 2.75-2.92
Pd: 0.3333 0.6667 0.2041  4 Sn 2.75-2.92
Pd: 0.6667 0.3333 0.7959  4 Sn 2.75-2.92

Results
D(E_F) in states/eV per cell: 3.66
SG: P-3m1
Theoretical density in g/cm3: 8.09
Electronic total energy in eV for the cell shown: -27.47
Volume in Å³ per atom: 23.95

***

Record 3
A plane-wave DFT calculation with GGA-PBE was carried out for a geometry-optimized SiAuCl2 structure.

Cell: 6.7589 6.7589 6.7589 Å, 90.00 90.00 90.00°
Closest atoms and distances in Å follow each position.
Element x y z (fractional)
Si: 0.0000 0.0000 0.0000  4 Cl 2.93, 4 Au 2.93
Si: 0.0000 0.5000 0.5000  4 Cl 2.93, 4 Au 2.93
Si: 0.5000 0.0000 0.5000  4 Cl 2.93, 4 Au 2.93
Si: 0.5000 0.5000 0.0000  4 Cl 2.93, 4 Au 2.93
Au: 0.2500 0.2500 0.7500  4 Cl 2.93, 4 Si 2.93
Au: 0.2500 0.7500 0.2500  4 Cl 2.93, 4 Si 2.93
Au: 0.7500 0.2500 0.2500  4 Cl 2.93, 4 Si 2.93
Au: 0.7500 0.7500 0.7500  4 Cl 2.93, 4 Si 2.93
Cl: 0.0000 0.0000 0.5000  4 Cl 2.93, 4 Au 2.93
Cl: 0.0000 0.5000 0.0000  4 Cl 2.93, 4 Au 2.93
Cl: 0.2500 0.2500 0.2500  4 Cl 2.93, 4 Si 2.93
Cl: 0.2500 0.7500 0.7500  4 Cl 2.93, 4 Si 2.93
Cl: 0.5000 0.0000 0.0000  4 Cl 2.93, 4 Au 2.93
Cl: 0.5000 0.5000 0.5000  4 Cl 2.93, 4 Au 2.93
Cl: 0.7500 0.2500 0.7500  4 Cl 2.93, 4 Si 2.93
Cl: 0.7500 0.7500 0.2500  4 Cl 2.93, 4 Si 2.93

Results
D(E_F) in states/eV per cell: 18.44
SG: F-43m
Theoretical density in g/cm3: 6.37
Formation energy without anion corrections in eV/atom: 0.382
Electronic total energy in eV for the cell shown: -43.46
Energy relative to the lowest polymorph listed for this composition in meV/atom: 781
Volume in Å³ per atom: 19.30

***

Record 4
A plane-wave DFT calculation with GGA-PBE was carried out for a geometry-optimized HoEr12Sc5 structure.

Cell: 5.9880 5.9880 16.7824 Å, 93.41 93.41 119.99°
Closest atoms and distances in Å follow each position.
Element x y z (fractional)
Ho: 0.0000 0.0000 0.0000  6 Er 3.41, 6 Sc 3.46
Er: 0.0550 0.3913 0.1654  2 Sc 3.40, 1 Ho 3.41, 9 Er 3.44-3.50
Er: 0.1128 0.1128 0.3371  3 Sc 3.37, 9 Er 3.46-3.50
Er: 0.2203 0.5536 0.6622  3 Sc 3.36, 9 Er 3.46-3.50
Er: 0.2812 0.2812 0.8346  2 Sc 3.40, 1 Ho 3.41, 9 Er 3.44-3.50
Er: 0.3913 0.0550 0.1654  2 Sc 3.40, 1 Ho 3.41, 9 Er 3.44-3.50
Er: 0.4464 0.7797 0.3378  3 Sc 3.36, 9 Er 3.46-3.50
Er: 0.5536 0.2203 0.6622  3 Sc 3.36, 9 Er 3.46-3.50
Er: 0.6087 0.9450 0.8346  2 Sc 3.40, 1 Ho 3.41, 9 Er 3.44-3.50
Er: 0.7188 0.7188 0.1654  2 Sc 3.40, 1 Ho 3.41, 9 Er 3.44-3.50
Er: 0.7797 0.4464 0.3378  3 Sc 3.36, 9 Er 3.46-3.50
Er: 0.8872 0.8872 0.6629  3 Sc 3.37, 9 Er 3.46-3.50
Er: 0.9450 0.6087 0.8346  2 Sc 3.40, 1 Ho 3.41, 9 Er 3.44-3.50
Sc: 0.1662 0.8338 0.5000  6 Er 3.36-3.37, 6 Sc 3.45-3.46
Sc: 0.3333 0.6667 0.0000  6 Er 3.40, 3 Ho 3.46, 3 Sc 3.46
Sc: 0.5000 0.5000 0.5000  6 Er 3.36-3.37, 6 Sc 3.46
Sc: 0.6667 0.3333 0.0000  6 Er 3.40, 3 Ho 3.46, 3 Sc 3.46
Sc: 0.8338 0.1662 0.5000  6 Er 3.36-3.37, 6 Sc 3.45-3.46

Results
D(E_F) in states/eV per cell: 25.23
SG: C2/m
Theoretical density in g/cm3: 7.69
Electronic total energy in eV for the cell shown: -90.39
Volume in Å³ per atom: 28.75

***

Record 5
A plane-wave DFT calculation with GGA-PBE was carried out for a geometry-optimized Cs2PuAlTe4 structure.

Cell: 9.3073 9.3073 7.7027 Å, 90.00 90.00 90.00°
Closest atoms and distances in Å follow each position.
Element x y z (fractional)
Cs: 0.0000 0.5000 0.0000  2 Cs 3.85, 8 Te 3.86-4.13
Cs: 0.0000 0.5000 0.5000  2 Cs 3.85, 8 Te 3.86-4.13
Cs: 0.5000 0.0000 0.0000  2 Cs 3.85, 8 Te 3.86-4.13
Cs: 0.5000 0.0000 0.5000  2 Cs 3.85, 8 Te 3.86-4.13
Pu: 0.0000 0.0000 0.0000  4 Te 3.06
Pu: 0.5000 0.5000 0.5000  4 Te 3.06
Al: 0.0000 0.0000 0.5000  4 Te 2.68
Al: 0.5000 0.5000 0.0000  4 Te 2.68
Te: 0.1608 0.1608 0.2865  1 Al 2.68
Te: 0.1608 0.8392 0.7135  1 Al 2.68
Te: 0.3392 0.3392 0.7865  1 Al 2.68
Te: 0.3392 0.6608 0.2135  1 Al 2.68
Te: 0.6608 0.3392 0.2135  1 Al 2.68
Te: 0.6608 0.6608 0.7865  1 Al 2.68
Te: 0.8392 0.1608 0.7135  1 Al 2.68
Te: 0.8392 0.8392 0.2865  1 Al 2.68

Results
D(E_F) in states/eV per cell: 28.29
SG: I-42m
Theoretical density in g/cm3: 5.21
Formation energy without anion corrections in eV/atom: -0.833
Electronic total energy in eV for the cell shown: -78.03
Volume in Å³ per atom: 41.70

***

Record 6
A plane-wave DFT calculation with GGA-PBE was carried out for a geometry-optimized PuNp2PdSe4 structure.

Cell: 7.0378 7.0378 7.0258 Å, 90.00 90.00 90.00°
Closest atoms and distances in Å follow each position.
Element x y z (fractional)
Pu: 0.0000 0.0000 0.0000  8 Se 2.93-3.22
Pu: 0.5000 0.5000 0.5000  8 Se 2.93-3.22
Np: 0.0000 0.5000 0.0000  8 Se 2.92-3.24
Np: 0.0000 0.5000 0.5000  8 Se 2.92-3.24
Np: 0.5000 0.0000 0.0000  8 Se 2.92-3.24
Np: 0.5000 0.0000 0.5000  8 Se 2.92-3.24
Pd: 0.0000 0.0000 0.5000  4 Se 2.58
Pd: 0.5000 0.5000 0.0000  4 Se 2.58
Se: 0.2123 0.2123 0.2894  1 Pd 2.58
Se: 0.2123 0.7877 0.7106  1 Pd 2.58
Se: 0.2877 0.2877 0.7894  1 Pd 2.58
Se: 0.2877 0.7123 0.2106  1 Pd 2.58
Se: 0.7123 0.2877 0.2106  1 Pd 2.58
Se: 0.7123 0.7123 0.7894  1 Pd 2.58
Se: 0.7877 0.2123 0.7106  1 Pd 2.58
Se: 0.7877 0.7877 0.2894  1 Pd 2.58

Results
D(E_F) in states/eV per cell: 34.39
SG: I-42m
Theoretical density in g/cm3: 10.88
Formation energy without anion corrections in eV/atom: -1.001
Electronic total energy in eV for the cell shown: -134.71
Volume in Å³ per atom: 21.75

***

Record 7
A plane-wave DFT calculation with GGA-PBE was carried out for a geometry-optimized Sr2ZnIn2Ag4 structure.

Cell: 6.7311 6.7311 6.7311 Å, 117.01 117.01 95.26°
Closest atoms and distances in Å follow each position.
Element x y z (fractional)
Sr: 0.2500 0.7500 0.5000  8 Ag 3.37, 4 In 3.55
Sr: 0.7500 0.2500 0.5000  8 Ag 3.37, 4 In 3.55
Zn: 0.0000 0.0000 0.0000  4 Ag 2.64, 2 In 2.76
In: 0.3047 0.3047 0.0000  1 Zn 2.76, 4 Ag 2.93
In: 0.6953 0.6953 0.0000  1 Zn 2.76, 4 Ag 2.93
Ag: 0.2658 0.2658 0.5316  1 Zn 2.64, 2 In 2.93
Ag: 0.2658 0.7342 0.0000  1 Zn 2.64, 2 In 2.93
Ag: 0.7342 0.2658 0.0000  1 Zn 2.64, 2 In 2.93
Ag: 0.7342 0.7342 0.4684  1 Zn 2.64, 2 In 2.93

Results
D(E_F) in states/eV per cell: 4.10
SG: I4/mmm
Theoretical density in g/cm3: 6.67
Electronic total energy in eV for the cell shown: -23.24
Volume in Å³ per atom: 24.93

***

Record 8
A plane-wave DFT calculation with GGA-PBE was carried out for a geometry-optimized TaInCo2 structure.

Cell: 3.0949 3.0949 22.9067 Å, 90.00 90.00 120.00°
Closest atoms and distances in Å follow each position.
Element x y z (fractional)
Ta: 0.0000 0.0000 0.0000  6 Co 2.50
Ta: 0.3333 0.6667 0.6667  6 Co 2.50
Ta: 0.6667 0.3333 0.3333  6 Co 2.50
In: 0.0000 0.0000 0.5000  6 Co 2.74
In: 0.3333 0.6667 0.1667  6 Co 2.74
In: 0.6667 0.3333 0.8333  6 Co 2.74
Co: 0.0000 0.0000 0.2571  3 Ta 2.50, 3 In 2.74
Co: 0.0000 0.0000 0.7429  3 Ta 2.50, 3 In 2.74
Co: 0.3333 0.6667 0.4096  3 Ta 2.50, 3 In 2.74
Co: 0.3333 0.6667 0.9237  3 Ta 2.50, 3 In 2.74
Co: 0.6667 0.3333 0.0763  3 Ta 2.50, 3 In 2.74
Co: 0.6667 0.3333 0.5904  3 Ta 2.50, 3 In 2.74

Results
D(E_F) in states/eV per cell: 13.71
SG: R-3m
Theoretical density in g/cm3: 10.84
Electronic total energy in eV for the cell shown: -84.07
Volume in Å³ per atom: 15.83

***

Look up the electronic total energy of the seventh one.
-23.24 eV for the cell shown

***

Which value of volume does entry 4 give?
28.75 Å³ per atom

***

The highest theoretical density belongs to which entry?
PuNp2PdSe4